[1]
Hg3Pd5Br12 PBE-GGA relaxed; formation energy without anion corrections = -165 meV/atom; crystal system = cubic
1.0
14.677 0.000 0.000
-4.892 13.838 0.000
-4.892 -6.919 11.984
Hg Pd Br
12 20 48
direct
0.750 0.375 0.125
0.875 0.750 0.125
0.375 0.750 0.625
0.250 0.125 0.375
0.875 0.125 0.250
0.375 0.625 0.250
0.625 0.375 0.750
0.125 0.875 0.750
0.750 0.875 0.625
0.625 0.250 0.375
0.125 0.250 0.875
0.250 0.625 0.875
0.125 0.375 0.250
0.000 0.500 0.000
0.000 0.000 0.000
0.375 0.250 0.125
0.500 0.000 0.500
0.500 0.500 0.000
0.125 0.750 0.375
0.750 0.125 0.875
0.750 0.625 0.375
0.375 0.125 0.750
0.625 0.875 0.250
0.500 0.500 0.500
0.500 0.000 0.000
0.000 0.000 0.500
0.250 0.375 0.625
0.250 0.875 0.125
0.000 0.500 0.500
0.875 0.250 0.625
0.625 0.750 0.875
0.875 0.625 0.750
0.675 0.137 0.008
0.334 0.508 0.371
0.992 0.363 0.325
0.508 0.175 0.137
0.537 0.675 0.666
0.992 0.629 0.166
0.334 0.825 0.463
0.129 0.963 0.137
0.629 0.992 0.666
0.675 0.537 0.166
0.825 0.492 0.363
0.834 0.871 0.008
0.137 0.675 0.508
0.363 0.371 0.037
0.037 0.871 0.363
0.463 0.137 0.629
0.037 0.166 0.175
0.492 0.666 0.129
0.834 0.963 0.325
0.137 0.463 0.129
0.363 0.992 0.825
0.629 0.637 0.463
0.871 0.834 0.508
0.825 0.334 0.963
0.371 0.363 0.537
0.129 0.166 0.492
0.175 0.666 0.037
0.166 0.037 0.675
0.637 0.008 0.175
0.863 0.537 0.871
0.508 0.334 0.871
0.537 0.863 0.371
0.963 0.834 0.825
0.963 0.129 0.637
0.863 0.325 0.492
0.166 0.129 0.992
0.637 0.629 0.963
0.371 0.008 0.334
0.325 0.463 0.834
0.175 0.508 0.637
0.871 0.037 0.863
0.666 0.175 0.537
0.492 0.825 0.863
0.008 0.371 0.834
0.463 0.325 0.334
0.008 0.637 0.675
0.666 0.492 0.629
0.325 0.863 0.992

=====

[2]
AsPt2Br PBE-GGA relaxed; formation energy without anion corrections = 41 meV/atom; crystal system = monoclinic
1.0
-0.098 6.203 -1.102
-1.704 -0.305 3.970
4.144 -0.281 -1.220
As Pt Br
1 2 1
direct
0.750 0.250 0.500
0.899 0.023 0.876
0.601 0.477 0.124
0.250 0.750 0.500

=====

[3]
Li2RhPb PBE-GGA relaxed; formation energy from the elements = -0.227 eV/atom; crystal system = orthorhombic
1.0
-0.259 2.563 4.292
-3.224 0.027 3.828
1.277 -2.084 3.238
Pb Rh Li
1 1 2
direct
0.750 0.750 0.750
0.250 0.250 0.250
0.997 0.997 0.003
0.503 0.503 0.497

=====

[4]
Rb2ZrN2 PBE-GGA relaxed; formation energy without anion corrections = -419 meV/atom; crystal system = trigonal
1.0
0.809 0.956 -3.212
-2.983 1.014 1.401
5.049 9.279 4.035
Rb Zr N
2 1 2
direct
0.667 0.333 0.275
0.333 0.667 0.725
0.000 0.000 0.000
0.667 0.333 0.899
0.333 0.667 0.101

=====

[5]
TlSiTcF2 PBE-GGA relaxed; formation energy without anion corrections = -316 meV/atom; crystal system = tetragonal
1.0
3.975 0.000 0.000
0.000 5.867 0.000
0.000 0.000 3.975
Tl Si Tc F
1 1 1 2
direct
0.000 0.500 0.000
0.000 0.000 0.000
0.500 0.500 0.500
0.000 0.000 0.500
0.500 0.000 0.000

=====

[6]
LiVCl2 PBE-GGA relaxed; formation energy without anion corrections = -550 meV/atom; crystal system = cubic
1.0
-0.698 -1.560 4.290
0.300 2.894 3.586
-3.810 1.218 2.309
V Li Cl
1 1 2
direct
0.500 0.500 0.500
0.000 0.000 0.000
0.250 0.250 0.250
0.750 0.750 0.750

=====

[7]
NpSnSb2 PBE-GGA relaxed; formation energy without anion corrections = 372 meV/atom; crystal system = trigonal
1.0
-1.016 1.214 -2.830
1.290 -1.065 -2.778
-8.507 -8.668 -2.521
Np Sb Sn
1 2 1
direct
0.000 0.000 0.000
0.086 0.086 0.742
0.914 0.914 0.258
0.500 0.500 0.500

=====

[8]
BaCa2In2 PBE-GGA relaxed; formation energy from the elements = -0.371 eV/atom; crystal system = tetragonal
1.0
9.602 0.000 0.000
0.000 9.602 0.000
0.000 0.000 3.618
Ca Ba In
4 2 4
direct
0.373 0.873 0.000
0.873 0.627 0.000
0.627 0.127 0.000
0.127 0.373 0.000
0.000 0.000 0.000
0.500 0.500 0.000
0.170 0.670 0.500
0.670 0.830 0.500
0.830 0.330 0.500
0.330 0.170 0.500

=====

no.,energy (eV/cell)
1,-200.97
2,-18.24
3,-15.79
4,-29.23
5,-23.48
6,-16.92
7,-23.70
8,-26.52